1.
VASP calculation (GGA-PBE) on a geometry-optimized Nb2HgCl8 structure.

For the formation energy without anion corrections, the calculation gives -11.45 eV/f.u. For the energy, the calculation gives -4.2427 eV per atom.

The structure belongs to space group Cm (No. 8); the cell edges are 9.257, 20.978 and 4.919 Å and the angles 90.00°, 90.27° and 90.00°. The asymmetric unit holds Nb at (0.000, 0.096, 0.000), Hg at (0.000, 0.500, 0.498), Cl at (0.000, 0.089, 0.500), Cl at (0.172, 0.000, 0.001), Cl at (0.199, 0.162, 0.002), Cl at (0.302, 0.338, 0.998) and Cl at (0.327, 0.500, 0.999).

2.
VASP calculation (GGA-PBE) on a geometry-optimized In2PbAu3 structure.

The calculation puts the formation energy from the elements at -0.82 eV per formula unit. For the energy, the calculation gives -3.3066 eV per atom.

The structure belongs to space group Pmma (No. 51); the cell edges are 5.846, 4.463 and 11.090 Å and the angles 90.00°, 90.00° and 90.00°. The asymmetric unit holds In at (0.250, 0.000, 0.101), In at (0.250, 0.500, 0.777), Pb at (0.250, 0.500, 0.445), Au at (0.000, 0.500, 0.000) and Au at (0.005, 0.000, 0.679).